Entry 1:
Material: CrAu3
Method: DFT, GGA-PBE
State: relaxed

Calculated values
Uncorrected energy ... -4.8100 eV per atom
DOS(E_F) ... 1.79 states/eV per cell
Symmetry ... No. 221
ΔH_f (0 K) ... 21 kJ/mol of formula units

Lattice parameters (Å, degrees): 4.122 4.122 4.122 90.00 90.00 90.00
Site moments in Bohr magnetons follow the coordinates.
Atoms (fractional coordinates):
Cr 0.500 0.500 0.000  3.74
Au 0.000 0.000 0.000  0.11
Au 0.000 0.500 0.500  0.11
Au 0.500 0.000 0.500  0.11

Entry 2:
Material: Al3SiF
Method: DFT, GGA-PBE
State: relaxed

Calculated values
Uncorrected energy ... -3.7473 eV per atom
Offset from the most stable computed form ... 0 meV/atom
Energy relative to the elements, uncorrected ... -1.0 kcal/mol of atoms
DOS(E_F) ... 2.37 states/eV per cell
Symmetry ... No. 221

Lattice parameters (Å, degrees): 4.402 4.402 4.402 90.00 90.00 90.00
Atoms (fractional coordinates):
Si 0.500 0.500 0.500
Al 0.000 0.500 0.000
Al 0.000 0.000 0.500
Al 0.500 0.000 0.000
F 0.000 0.000 0.000

Entry 3:
Material: Sc2HgPd
Method: DFT, GGA-PBE
State: relaxed

Calculated values
Uncorrected energy ... -4.9774 eV per atom
DOS(E_F) ... 4.00 states/eV per cell
Symmetry ... No. 160
ΔH_f (0 K) ... -169 kJ/mol of formula units

Lattice parameters (Å, degrees): 3.713 3.713 7.794 76.22 76.22 60.00
Atoms (fractional coordinates):
Sc 0.072 0.072 0.783
Sc 0.262 0.262 0.215
Hg 0.501 0.501 0.498
Pd 0.665 0.665 0.005

Entry 4:
Material: NaTiZnF6
Method: DFT, GGA-PBE
State: relaxed

Calculated values
Uncorrected energy ... -5.2683 eV per atom
Energy relative to the elements, uncorrected ... -65.8 kcal/mol of atoms
DOS(E_F) ... 11.11 states/eV per cell
Symmetry ... No. 163

Lattice parameters (Å, degrees): 5.439 5.439 9.664 90.00 90.00 120.00
Site moments in Bohr magnetons follow the coordinates.
Atoms (fractional coordinates):
Na 0.000 0.000 0.000  0.00
Na 0.000 0.000 0.500  0.00
Ti 0.667 0.333 0.250  0.91
Ti 0.333 0.667 0.750  0.91
Zn 0.333 0.667 0.250  0.01
Zn 0.667 0.333 0.750  0.01
F 0.644 0.633 0.141  0.00
F 0.990 0.356 0.141  0.00
F 0.356 0.990 0.641  0.00
F 0.010 0.644 0.859  0.00
F 0.367 0.356 0.359  0.00
F 0.990 0.633 0.359  0.00
F 0.633 0.990 0.859  0.00
F 0.644 0.010 0.359  0.00
F 0.010 0.367 0.641  0.00
F 0.367 0.010 0.141  0.00
F 0.633 0.644 0.641  0.00
F 0.356 0.367 0.859  0.00

Entry 5:
Material: PrTm2Pt
Method: DFT, GGA-PBE
State: relaxed

Calculated values
Uncorrected energy ... -5.5886 eV per atom
Offset from the most stable computed form ... 44 meV/atom
DOS(E_F) ... 3.59 states/eV per cell
Symmetry ... No. 123
ΔH_f (0 K) ... -250 kJ/mol of formula units

Lattice parameters (Å, degrees): 3.533 3.533 8.618 90.00 90.00 90.00
Atoms (fractional coordinates):
Pr 0.500 0.500 0.500
Tm 0.000 0.000 0.813
Tm 0.000 0.000 0.187
Pt 0.500 0.500 0.000

Entry 6:
Material: AlAg3Cl
Method: DFT, GGA-PBE
State: relaxed

Calculated values
Uncorrected energy ... -2.1638 eV per atom
Offset from the most stable computed form ... 215 meV/atom
Energy relative to the elements, uncorrected ... 15.3 kcal/mol of atoms
DOS(E_F) ... 3.19 states/eV per cell
Symmetry ... No. 221

Lattice parameters (Å, degrees): 5.022 5.022 5.022 90.00 90.00 90.00
Atoms (fractional coordinates):
Al 0.500 0.500 0.500
Ag 0.000 0.500 0.000
Ag 0.000 0.000 0.500
Ag 0.500 0.000 0.000
Cl 0.000 0.000 0.000

Look up the uncorrected energy of the second one. -3.7473 eV per atom